# Ta2AlAu

A relaxed Ta2AlAu crystal (GGA-PBE, the Alexandria database).

Cell lengths 3.987, 3.987, 8.750 Å; angles 90.00, 90.00, 90.00 degrees
Space group I-4m2 (No. 119)
Inequivalent atoms, fractional coordinates:
Ta: 0.000 0.000 0.000 [2 per cell]
Ta: 0.000 0.500 0.250 [2 per cell]
Al: 0.000 0.500 0.750 [2 per cell]
Au: 0.000 0.000 0.500 [2 per cell]

Calculated values
- E_form: -0.06 eV/atom
- Final energy: -61.95 eV for the cell shown
- Magnetic moment: 0.000 μB per formula unit